Entry from Alexandria: a relaxed structure of NaSiTc2W (PBE).

The calculation puts the theoretical density at 7.9 g cm⁻³. The value obtained for the density of states at the Fermi level is 1.088 states/eV/atom. Its total energy is -5.3572 eV/atom.

The space group is P4/mmm (No. 123) and the conventional cell measures 4.419, 4.419 and 4.631 Å, with angles of 90.00, 90.00 and 90.00 degrees. The asymmetric unit holds Na at (0.000, 0.000, 0.000), Si at (0.500, 0.500, 0.500), Tc at (0.000, 0.500, 0.000) and W at (0.000, 0.000, 0.500).